DFT (PBE) results for crystalline KRe2W at its relaxed geometry.

The relative energy among the computed polymorphs comes out at 451 kJ/mol of formula units. The formation energy from the elements is 1.920 eV/atom.

It has space group I4_1/amd (No. 141, origin choice 2), with a = 5.021 Å, b = 5.021 Å, c = 17.360 Å, α = 90.00°, β = 90.00° and γ = 90.00°. The asymmetric unit holds K at (0.000, 0.250, 0.375), Re at (0.000, 0.000, 0.000) and W at (0.000, 0.250, 0.875).